First-principles (GGA-PBE) data for a relaxed Ho2TmGa3Ge2Pd crystal, as listed in OQMD via LeMat-Bulk.

Calculated values
Total moment = 0.000 μB/atom
ρ = 9.06 g cm⁻³
Final energy = -4.898 eV/atom

Unit cell a=4.2075 b=6.9439 c=6.9439 alpha=119.85 beta=90.00 gamma=90.00
Closest atoms and distances in Å follow each position.
Sites, in units of the cell vectors:
Ga (0.5000, 0.2409, 0.0004)  2 Pd 2.68, 2 Ge 2.69-2.71, 2 Ga 2.89-2.90
Ga (0.5000, 0.0004, 0.2409)  2 Pd 2.68, 2 Ge 2.69-2.71, 2 Ga 2.89-2.90
Ga (0.5000, 0.7596, 0.7596)  2 Ge 2.69, 2 Pd 2.70, 2 Ga 2.90
Ge (0.5000, 0.6650, 0.3340)  3 Ga 2.69-2.71, 2 Tm 2.96, 4 Ho 2.97-2.98
Ge (0.5000, 0.3340, 0.6650)  3 Ga 2.69-2.71, 2 Tm 2.96, 4 Ho 2.97-2.98
Ho (0.0000, 0.9994, 0.5876)  1 Pd 2.87, 4 Ge 2.97-2.98, 2 Ga 3.20
Ho (0.0000, 0.5876, 0.9994)  1 Pd 2.87, 4 Ge 2.97-2.98, 2 Ga 3.20
Pd (0.0000, 0.0024, 0.0024)  6 Ga 2.68-2.70, 1 Tm 2.84, 2 Ho 2.87
Tm (0.0000, 0.4109, 0.4109)  1 Pd 2.84, 4 Ge 2.96